No. 1
The following is a PBEsol calculation of a relaxed structure of BaLiAu2, from the Alexandria database.

Cell and atoms, written as CIF:
```
data_BaLiAu2
_symmetry_space_group_name_H-M 'P 1 m 1'
_symmetry_Int_Tables_number 6
_cell_length_a 4.4156
_cell_length_b 4.7816
_cell_length_c 5.0962
_cell_angle_alpha 90.00
_cell_angle_beta 92.83
_cell_angle_gamma 90.00
loop_
_symmetry_equiv_pos_as_xyz
'x,y,z'
'x,-y,z'
loop_
_atom_site_label
_atom_site_fract_x
_atom_site_fract_y
_atom_site_fract_z
Ba1 0.0000 0.0000 0.0000
Li1 0.5513 0.5000 0.3385
Au1 0.4842 0.5000 0.8340
Au2 0.4857 0.0000 0.5207
```

Values from the calculation:
spin magnetization	0.00	Bohr magnetons per cell
E_tot	-13.84	eV/f.u.
calculated volume	26.87	Å³ per atom
formation enthalpy at 0 K	-181	kJ/mol of formula units

***

No. 2
The following is a PBEsol calculation of a relaxed structure of BaLiAu2, from the Alexandria database.

Cell and atoms, written as CIF:
```
data_BaLiAu2
_symmetry_space_group_name_H-M 'C 1 2/m 1'
_symmetry_Int_Tables_number 12
_cell_length_a 7.9056
_cell_length_b 4.5650
_cell_length_c 6.1124
_cell_angle_alpha 90.00
_cell_angle_beta 115.62
_cell_angle_gamma 90.00
loop_
_symmetry_equiv_pos_as_xyz
'x,y,z'
'-x,-y,-z'
'-x,y,-z'
'x,-y,z'
'x+1/2,y+1/2,z'
'-x+1/2,-y+1/2,-z'
'-x+1/2,y+1/2,-z'
'x+1/2,-y+1/2,z'
loop_
_atom_site_label
_atom_site_fract_x
_atom_site_fract_y
_atom_site_fract_z
Ba1 0.0000 0.0000 0.0000
Li1 0.0000 0.5000 0.5000
Au1 0.2028 0.0000 0.6081
```

Values from the calculation:
spin magnetization	0.00	Bohr magnetons per cell
E_tot	-14.35	eV/f.u.
calculated volume	24.86	Å³ per atom
formation enthalpy at 0 K	-230	kJ/mol of formula units

***

No. 3
The following is a PBEsol calculation of a relaxed structure of BaLi2Au, from the Alexandria database.

Cell and atoms, written as CIF:
```
data_BaLi2Au
_symmetry_space_group_name_H-M 'P 1 m 1'
_symmetry_Int_Tables_number 6
_cell_length_a 4.0969
_cell_length_b 4.2790
_cell_length_c 6.6566
_cell_angle_alpha 90.00
_cell_angle_beta 107.23
_cell_angle_gamma 90.00
loop_
_symmetry_equiv_pos_as_xyz
'x,y,z'
'x,-y,z'
loop_
_atom_site_label
_atom_site_fract_x
_atom_site_fract_y
_atom_site_fract_z
Ba1 0.0000 0.0000 0.0000
Li1 0.2796 0.0000 0.5396
Li2 0.7505 0.5000 0.4846
Au1 0.3869 0.5000 0.7662
```

Values from the calculation:
spin magnetization	0.00	Bohr magnetons per cell
E_tot	-11.22	eV/f.u.
calculated volume	27.86	Å³ per atom
formation enthalpy at 0 K	-117	kJ/mol of formula units

***

No. 4
The following is a PBEsol calculation of a relaxed structure of Ba2Li2Au, from the Alexandria database.

Cell and atoms, written as CIF:
```
data_Ba2Li2Au
_symmetry_space_group_name_H-M 'I 4/m m m'
_symmetry_Int_Tables_number 139
_symmetry_space_group_name_Hall '-I 4 2'
_cell_length_a 4.0191
_cell_length_b 4.0191
_cell_length_c 20.0683
_cell_angle_alpha 90.00
_cell_angle_beta 90.00
_cell_angle_gamma 90.00
loop_
_atom_site_label
_atom_site_fract_x
_atom_site_fract_y
_atom_site_fract_z
Ba1 0.0000 0.0000 0.0922
Li1 0.0000 0.5000 0.2500
Au1 0.0000 0.0000 0.5000
```

Values from the calculation:
spin magnetization	0.00	Bohr magnetons per cell
E_tot	-13.26	eV/f.u.
calculated volume	32.42	Å³ per atom
formation enthalpy at 0 K	-107	kJ/mol of formula units

***

No. 5
The following is a PBEsol calculation of a relaxed structure of BaLi2Au, from the Alexandria database.

Cell and atoms, written as CIF:
```
data_BaLi2Au
_symmetry_space_group_name_H-M 'R -3 m'
_symmetry_Int_Tables_number 166
_symmetry_space_group_name_Hall '-R 3 2"'
_cell_length_a 4.5347
_cell_length_b 4.5347
_cell_length_c 17.2152
_cell_angle_alpha 90.00
_cell_angle_beta 90.00
_cell_angle_gamma 120.00
loop_
_atom_site_label
_atom_site_fract_x
_atom_site_fract_y
_atom_site_fract_z
Ba1 0.0000 0.0000 0.0000
Li1 0.0000 0.0000 0.1936
Au1 0.0000 0.0000 0.5000
```

Values from the calculation:
spin magnetization	0.00	Bohr magnetons per cell
E_tot	-11.13	eV/f.u.
calculated volume	25.55	Å³ per atom
formation enthalpy at 0 K	-108	kJ/mol of formula units

***

No. 6
The following is a PBEsol calculation of a relaxed structure of BaLiAu, from the Alexandria database.

Cell and atoms, written as CIF:
```
data_BaLiAu
_symmetry_space_group_name_H-M 'P -6 m 2'
_symmetry_Int_Tables_number 187
_symmetry_space_group_name_Hall 'P -6 2'
_cell_length_a 4.5911
_cell_length_b 4.5911
_cell_length_c 4.5617
_cell_angle_alpha 90.00
_cell_angle_beta 90.00
_cell_angle_gamma 120.00
loop_
_atom_site_label
_atom_site_fract_x
_atom_site_fract_y
_atom_site_fract_z
Ba1 0.0000 0.0000 0.0000
Li1 0.3333 0.6667 0.5000
Au1 0.6667 0.3333 0.5000
```

Values from the calculation:
spin magnetization	0.00	Bohr magnetons per cell
E_tot	-9.43	eV/f.u.
calculated volume	27.76	Å³ per atom
formation enthalpy at 0 K	-134	kJ/mol of formula units

***

No. 7
The following is a PBEsol calculation of a relaxed structure of BaLi2Au, from the Alexandria database.

Cell and atoms, written as CIF:
```
data_BaLi2Au
_symmetry_space_group_name_H-M 'C 1 2/m 1'
_symmetry_Int_Tables_number 12
_cell_length_a 8.9504
_cell_length_b 4.0739
_cell_length_c 5.6697
_cell_angle_alpha 90.00
_cell_angle_beta 104.63
_cell_angle_gamma 90.00
loop_
_symmetry_equiv_pos_as_xyz
'x,y,z'
'-x,-y,-z'
'-x,y,-z'
'x,-y,z'
'x+1/2,y+1/2,z'
'-x+1/2,-y+1/2,-z'
'-x+1/2,y+1/2,-z'
'x+1/2,-y+1/2,z'
loop_
_atom_site_label
_atom_site_fract_x
_atom_site_fract_y
_atom_site_fract_z
Ba1 0.0000 0.0000 0.0000
Li1 0.1993 0.0000 0.5988
Au1 0.0000 0.5000 0.5000
```

Values from the calculation:
spin magnetization	0.00	Bohr magnetons per cell
E_tot	-11.21	eV/f.u.
calculated volume	25.00	Å³ per atom
formation enthalpy at 0 K	-116	kJ/mol of formula units

***

No. 8
The following is a PBEsol calculation of a relaxed structure of BaLi3Au, from the Alexandria database.

Cell and atoms, written as CIF:
```
data_BaLi3Au
_symmetry_space_group_name_H-M 'P m -3 m'
_symmetry_Int_Tables_number 221
_symmetry_space_group_name_Hall '-P 4 2 3'
_cell_length_a 5.0627
_cell_length_b 5.0627
_cell_length_c 5.0627
_cell_angle_alpha 90.00
_cell_angle_beta 90.00
_cell_angle_gamma 90.00
loop_
_atom_site_label
_atom_site_fract_x
_atom_site_fract_y
_atom_site_fract_z
Ba1 0.0000 0.0000 0.0000
Li1 0.0000 0.5000 0.5000
Au1 0.5000 0.5000 0.5000
```

Values from the calculation:
spin magnetization	0.00	Bohr magnetons per cell
E_tot	-12.85	eV/f.u.
calculated volume	25.95	Å³ per atom
formation enthalpy at 0 K	-84	kJ/mol of formula units

***

No. 9
The following is a PBEsol calculation of a relaxed structure of BaLi2Au, from the Alexandria database.

Cell and atoms, written as CIF:
```
data_BaLi2Au
_symmetry_space_group_name_H-M 'R 3 m'
_symmetry_Int_Tables_number 160
_symmetry_space_group_name_Hall 'R 3 -2"'
_cell_length_a 4.6165
_cell_length_b 4.6165
_cell_length_c 17.0006
_cell_angle_alpha 90.00
_cell_angle_beta 90.00
_cell_angle_gamma 120.00
loop_
_atom_site_label
_atom_site_fract_x
_atom_site_fract_y
_atom_site_fract_z
Ba1 0.0000 0.0000 0.0000
Li1 0.0000 0.0000 0.5136
Li2 0.0000 0.0000 0.8116
Au1 0.0000 0.0000 0.1976
```

Values from the calculation:
spin magnetization	0.00	Bohr magnetons per cell
E_tot	-11.44	eV/f.u.
calculated volume	26.15	Å³ per atom
formation enthalpy at 0 K	-138	kJ/mol of formula units

***

No. 10
The following is a PBEsol calculation of a relaxed structure of BaLiAu2, from the Alexandria database.

Cell and atoms, written as CIF:
```
data_BaLiAu2
_symmetry_space_group_name_H-M 'R 3 m'
_symmetry_Int_Tables_number 160
_symmetry_space_group_name_Hall 'R 3 -2"'
_cell_length_a 4.5276
_cell_length_b 4.5276
_cell_length_c 16.7853
_cell_angle_alpha 90.00
_cell_angle_beta 90.00
_cell_angle_gamma 120.00
loop_
_atom_site_label
_atom_site_fract_x
_atom_site_fract_y
_atom_site_fract_z
Ba1 0.0000 0.0000 0.0000
Li1 0.0000 0.0000 0.8119
Au1 0.0000 0.0000 0.2000
Au2 0.0000 0.0000 0.4692
```

Values from the calculation:
spin magnetization	0.00	Bohr magnetons per cell
E_tot	-13.99	eV/f.u.
calculated volume	24.83	Å³ per atom
formation enthalpy at 0 K	-195	kJ/mol of formula units

***

No. 11
The following is a PBEsol calculation of a relaxed structure of Ba2LiMgAu, from the Alexandria database.

Cell and atoms, written as CIF:
```
data_Ba2LiMgAu
_symmetry_space_group_name_H-M 'P 4/m m m'
_symmetry_Int_Tables_number 123
_symmetry_space_group_name_Hall '-P 4 2'
_cell_length_a 6.2615
_cell_length_b 6.2615
_cell_length_c 4.9388
_cell_angle_alpha 90.00
_cell_angle_beta 90.00
_cell_angle_gamma 90.00
loop_
_atom_site_label
_atom_site_fract_x
_atom_site_fract_y
_atom_site_fract_z
Ba1 0.0000 0.5000 0.0000
Li1 0.0000 0.0000 0.5000
Mg1 0.5000 0.5000 0.5000
Au1 0.0000 0.0000 0.0000
```

Values from the calculation:
spin magnetization	0.00	Bohr magnetons per cell
E_tot	-12.84	eV/f.u.
calculated volume	38.73	Å³ per atom
formation enthalpy at 0 K	-90	kJ/mol of formula units

***

No. 12
The following is a PBEsol calculation of a relaxed structure of BaMgAu, from the Alexandria database.

Cell and atoms, written as CIF:
```
data_BaMgAu
_symmetry_space_group_name_H-M 'P -6 m 2'
_symmetry_Int_Tables_number 187
_symmetry_space_group_name_Hall 'P -6 2'
_cell_length_a 4.7420
_cell_length_b 4.7420
_cell_length_c 4.6394
_cell_angle_alpha 90.00
_cell_angle_beta 90.00
_cell_angle_gamma 120.00
loop_
_atom_site_label
_atom_site_fract_x
_atom_site_fract_y
_atom_site_fract_z
Ba1 0.0000 0.0000 0.0000
Mg1 0.3333 0.6667 0.5000
Au1 0.6667 0.3333 0.5000
```

Values from the calculation:
spin magnetization	0.00	Bohr magnetons per cell
E_tot	-9.16	eV/f.u.
calculated volume	30.12	Å³ per atom
formation enthalpy at 0 K	-132	kJ/mol of formula units

***

No. 13
The following is a PBEsol calculation of a relaxed structure of BaMg3Au, from the Alexandria database.

Cell and atoms, written as CIF:
```
data_BaMg3Au
_symmetry_space_group_name_H-M 'P m -3 m'
_symmetry_Int_Tables_number 221
_symmetry_space_group_name_Hall '-P 4 2 3'
_cell_length_a 5.2035
_cell_length_b 5.2035
_cell_length_c 5.2035
_cell_angle_alpha 90.00
_cell_angle_beta 90.00
_cell_angle_gamma 90.00
loop_
_atom_site_label
_atom_site_fract_x
_atom_site_fract_y
_atom_site_fract_z
Ba1 0.0000 0.0000 0.0000
Mg1 0.0000 0.5000 0.5000
Au1 0.5000 0.5000 0.5000
```

Values from the calculation:
spin magnetization	0.01	Bohr magnetons per cell
E_tot	-12.67	eV/f.u.
calculated volume	28.18	Å³ per atom
formation enthalpy at 0 K	-139	kJ/mol of formula units

***

No. 14
The following is a PBEsol calculation of a relaxed structure of BaMgAu2, from the Alexandria database.

Cell and atoms, written as CIF:
```
data_BaMgAu2
_symmetry_space_group_name_H-M 'R -3 m'
_symmetry_Int_Tables_number 166
_symmetry_space_group_name_Hall '-R 3 2"'
_cell_length_a 4.6945
_cell_length_b 4.6945
_cell_length_c 16.4663
_cell_angle_alpha 90.00
_cell_angle_beta 90.00
_cell_angle_gamma 120.00
loop_
_atom_site_label
_atom_site_fract_x
_atom_site_fract_y
_atom_site_fract_z
Ba1 0.0000 0.0000 0.0000
Mg1 0.0000 0.0000 0.5000
Au1 0.0000 0.0000 0.2021
```

Values from the calculation:
spin magnetization	0.00	Bohr magnetons per cell
E_tot	-14.22	eV/f.u.
calculated volume	26.19	Å³ per atom
formation enthalpy at 0 K	-241	kJ/mol of formula units

***

No. 15
The following is a PBEsol calculation of a relaxed structure of BaMgAu2, from the Alexandria database.

Cell and atoms, written as CIF:
```
data_BaMgAu2
_symmetry_space_group_name_H-M 'C 1 m 1'
_symmetry_Int_Tables_number 8
_cell_length_a 7.9505
_cell_length_b 4.5917
_cell_length_c 6.4745
_cell_angle_alpha 90.00
_cell_angle_beta 114.34
_cell_angle_gamma 90.00
loop_
_symmetry_equiv_pos_as_xyz
'x,y,z'
'x,-y,z'
'x+1/2,y+1/2,z'
'x+1/2,-y+1/2,z'
loop_
_atom_site_label
_atom_site_fract_x
_atom_site_fract_y
_atom_site_fract_z
Ba1 0.0000 0.0000 0.0000
Mg1 0.3104 0.5000 0.4286
Au1 0.1971 0.0000 0.5880
Au2 0.4602 0.0000 0.3783
```

Values from the calculation:
spin magnetization	0.00	Bohr magnetons per cell
E_tot	-13.75	eV/f.u.
calculated volume	26.92	Å³ per atom
formation enthalpy at 0 K	-196	kJ/mol of formula units